Below is BaScTc3 after structural relaxation, with properties calculated at the PBE level.

The structure in POSCAR format:
```
BaScTc3
1.0
-0.815 -3.505 -3.386
4.705 0.328 -1.472
1.269 -3.467 3.284
Sc Ba Tc
1 1 3
Direct
0.500 0.500 0.500
0.000 0.000 0.000
0.000 0.500 0.000
0.000 0.000 0.500
0.500 0.000 0.000
```

Summary:
Relative energy among the computed polymorphs = 1005 meV/atom
Formation enthalpy at 0 K = 2.499 eV per atom


Below is BaSc2Tc after structural relaxation, with properties calculated at the PBE level.

The structure in POSCAR format:
```
BaSc2Tc
1.0
10.391 -0.007 -0.004
9.822 3.392 -0.004
9.822 1.645 2.967
Ba Sc Tc
1 2 1
Direct
0.750 0.750 0.750
0.976 0.976 0.976
0.524 0.524 0.524
0.250 0.250 0.250
```

Summary:
Relative energy among the computed polymorphs = 204 meV/atom
Formation enthalpy at 0 K = 0.248 eV per atom


Below is BaSc2Tc after structural relaxation, with properties calculated at the PBE level.

The structure in POSCAR format:
```
BaSc2Tc
1.0
1.948 0.000 10.670
-0.974 1.687 10.670
-0.974 -1.687 10.670
Sc Ba Tc
2 1 1
Direct
0.891 0.891 0.891
0.109 0.109 0.109
0.000 0.000 0.000
0.500 0.500 0.500
```

Summary:
Relative energy among the computed polymorphs = 215 meV/atom
Formation enthalpy at 0 K = 0.259 eV per atom


Below is BaSc2Tc after structural relaxation, with properties calculated at the PBE level.

The structure in POSCAR format:
```
BaSc2Tc
1.0
4.225 0.004 -0.003
2.849 3.120 -0.003
0.845 0.373 8.576
Ba Sc Tc
1 2 1
Direct
0.250 0.250 0.250
0.023 0.023 0.903
0.477 0.477 0.597
0.750 0.750 0.750
```

Summary:
Relative energy among the computed polymorphs = 164 meV/atom
Formation enthalpy at 0 K = 0.208 eV per atom


Below is BaSc2Tc after structural relaxation, with properties calculated at the PBE level.

The structure in POSCAR format:
```
BaSc2Tc
1.0
-4.073 -9.626 1.942
-1.850 -10.458 -0.479
-0.836 -10.235 2.749
Ba Sc Tc
1 2 1
Direct
0.765 0.765 0.765
0.990 0.990 0.990
0.235 0.235 0.235
0.510 0.510 0.510
```

Summary:
Relative energy among the computed polymorphs = 490 meV/atom
Formation enthalpy at 0 K = 0.534 eV per atom


Below is BaSc2Tc after structural relaxation, with properties calculated at the PBE level.

The structure in POSCAR format:
```
BaSc2Tc
1.0
4.772 0.000 0.000
0.000 4.518 0.000
0.000 0.000 4.518
Ba Sc Tc
1 2 1
Direct
0.500 0.000 0.500
0.000 0.000 0.000
0.000 0.500 0.500
0.500 0.500 0.000
```

Summary:
Relative energy among the computed polymorphs = 628 meV/atom
Formation enthalpy at 0 K = 0.672 eV per atom


Below is BaSc2Tc after structural relaxation, with properties calculated at the PBE level.

The structure in POSCAR format:
```
BaSc2Tc
1.0
8.242 0.073 -0.021
6.272 5.347 0.021
-6.964 -3.493 2.688
Ba Sc Tc
1 2 1
Direct
0.328 0.828 0.500
0.010 0.010 0.000
0.645 0.145 0.500
0.516 0.516 0.000
```

Summary:
Relative energy among the computed polymorphs = 234 meV/atom
Formation enthalpy at 0 K = 0.278 eV per atom


Below is BaSc2Tc after structural relaxation, with properties calculated at the PBE level.

The structure in POSCAR format:
```
BaSc2Tc
1.0
3.372 0.000 0.000
0.000 3.372 0.000
0.000 0.000 9.422
Ba Sc Tc
1 2 1
Direct
0.500 0.500 0.750
0.000 0.000 0.093
0.000 0.000 0.407
0.500 0.500 0.250
```

Summary:
Relative energy among the computed polymorphs = 0 meV/atom
Formation enthalpy at 0 K = 0.044 eV per atom


no.,V (Å³/atom),raw total energy (eV/atom)
1,24.13,-5.3714
2,26.23,-5.9901
3,26.29,-5.9791
4,28.23,-6.0298
5,26.01,-5.7043
6,24.36,-5.5662
7,29.38,-5.9602
8,26.78,-6.1938